BiP4O12 (GGA-PBEsol, optimized geometry); symmetry = C2/m, No. 12; total moment = 0.03 μB per formula unit; calculated total energy = -244.56 eV for the cell shown; uncorrected formation energy = -1.87 eV/atom
1.0
5.1611 -0.3582 -0.2424
1.3434 10.3701 -0.0961
1.3434 3.7684 9.6616
Bi P O
2 8 24
Direct
0.4647 0.6849 0.6849 Bi
0.5353 0.3151 0.3151 Bi
0.0793 0.0749 0.3101 P
0.9756 0.5895 0.2370 P
0.0244 0.7630 0.4105 P
0.0244 0.4105 0.7630 P
0.9207 0.9251 0.6899 P
0.9756 0.2370 0.5895 P
0.0793 0.3101 0.0749 P
0.9207 0.6899 0.9251 P
0.7225 0.5247 0.2959 O
0.3490 0.0950 0.3426 O
0.6510 0.9050 0.6574 O
0.6510 0.6574 0.9050 O
0.0000 0.7185 0.2815 O
0.0000 0.2815 0.7185 O
0.2193 0.5021 0.2658 O
0.2193 0.2658 0.5021 O
0.0430 0.9226 0.3219 O
0.0430 0.3219 0.9226 O
0.9571 0.8536 0.8536 O
0.2775 0.7041 0.4753 O
0.2775 0.4753 0.7041 O
0.1396 0.8733 0.6177 O
0.1396 0.6177 0.8733 O
0.7807 0.4979 0.7342 O
0.8604 0.1267 0.3823 O
0.8604 0.3823 0.1267 O
0.7225 0.2959 0.5247 O
0.0429 0.1464 0.1464 O
0.9570 0.6781 0.0774 O
0.9570 0.0774 0.6781 O
0.7807 0.7342 0.4979 O
0.3490 0.3426 0.0950 O

BiP2O2 (GGA-PBEsol, optimized geometry); symmetry = P4/mmm, No. 123; total moment = 0.89 μB per formula unit; calculated total energy = -24.38 eV for the cell shown; uncorrected formation energy = 0.40 eV/atom
1.0
4.0300 0.0000 0.0000
0.0000 4.0300 0.0000
0.0000 0.0000 5.6352
P Bi O
2 1 2
Direct
0.5000 0.5000 0.5000 P
0.0000 0.0000 0.5000 P
0.0000 0.0000 0.0000 Bi
0.0000 0.5000 0.0000 O
0.5000 0.0000 0.0000 O

Bi12PO20 (GGA-PBEsol, optimized geometry); symmetry = I23, No. 197; total moment = 0.00 μB per formula unit; calculated total energy = -206.75 eV for the cell shown; uncorrected formation energy = -1.35 eV/atom
1.0
8.7582 0.0000 0.0000
-2.9194 8.2573 0.0000
-2.9194 -4.1286 7.1510
Bi P O
12 1 20
Direct
0.1951 0.4988 0.3448 Bi
0.1496 0.3036 0.8049 Bi
0.5012 0.6964 0.8460 Bi
0.6552 0.1540 0.8504 Bi
0.3448 0.1951 0.4988 Bi
0.1540 0.8504 0.6552 Bi
0.8049 0.1496 0.3036 Bi
0.3036 0.8049 0.1496 Bi
0.6964 0.8460 0.5012 Bi
0.8504 0.6552 0.1540 Bi
0.4988 0.3448 0.1951 Bi
0.8460 0.5012 0.6964 Bi
0.0000 0.0000 0.0000 P
0.4049 0.4049 0.4049 O
0.2374 0.3621 0.6129 O
0.8215 0.8215 0.8215 O
0.3871 0.7492 0.6245 O
0.1247 0.7626 0.3755 O
0.0000 0.0000 0.1785 O
0.0000 0.1785 0.0000 O
0.2508 0.6379 0.8753 O
0.5951 0.0000 0.0000 O
0.6245 0.3871 0.7492 O
0.3755 0.1247 0.7626 O
0.6379 0.8753 0.2508 O
0.3621 0.6129 0.2374 O
0.0000 0.0000 0.5951 O
0.0000 0.5951 0.0000 O
0.7626 0.3755 0.1247 O
0.1785 0.0000 0.0000 O
0.6129 0.2374 0.3621 O
0.8753 0.2508 0.6379 O
0.7492 0.6245 0.3871 O